Below is a relaxed structure of Ba2UCl4O2, with properties calculated at the PBE level.

E: -6.088 eV/atom
space-group type: No. 12
crystal system: monoclinic
D(E_F): 3.97 states/eV/f.u.
formation energy (no corrections): -2.4840 eV per atom
theoretical density: 4.9 g cm⁻³

Lattice parameters (Å, degrees): 5.1820 7.0306 7.0306 68.49 80.59 80.59
With the nearest neighbours (Å) after each atom.
Positions (direct):
Ba: 0.8238 0.3128 0.3128  1 O 2.57
O: 0.7885 0.8630 0.8630  1 U 1.96
O: 0.2115 0.1370 0.1370  1 U 1.96
Cl: 0.2872 0.6134 0.1662  1 U 2.86
Ba: 0.1762 0.6872 0.6872  1 O 2.57
Cl: 0.7128 0.3866 0.8338  1 U 2.86
Cl: 0.2872 0.1662 0.6134  1 U 2.86
Cl: 0.7128 0.8338 0.3866  1 U 2.86
U: 0.5000 0.0000 0.0000  2 O 1.96